[1]
A plane-wave DFT calculation with PBE was carried out for a geometry-optimized ZrSb3 structure.

```
data_ZrSb3
_symmetry_space_group_name_H-M 'P 1'
_symmetry_Int_Tables_number 1
_cell_length_a 6.488
_cell_length_b 6.488
_cell_length_c 5.473
_cell_angle_alpha 90.00
_cell_angle_beta 90.00
_cell_angle_gamma 119.00
loop_
_symmetry_equiv_pos_as_xyz
'x,y,z'
loop_
_atom_site_label
_atom_site_type_symbol
_atom_site_fract_x
_atom_site_fract_y
_atom_site_fract_z
Zr1 Zr 0.397 0.603 0.250
Zr2 Zr 0.603 0.397 0.750
Sb1 Sb 0.926 0.074 0.250
Sb2 Sb 0.074 0.926 0.750
Sb3 Sb 0.424 0.129 0.250
Sb4 Sb 0.576 0.871 0.750
Sb5 Sb 0.129 0.424 0.750
Sb6 Sb 0.871 0.576 0.250
```

ΔE to the lowest computed polymorph (eV per atom): 0.159

---

[2]
A plane-wave DFT calculation with PBE was carried out for a geometry-optimized ZrSb4 structure.

```
data_ZrSb4
_symmetry_space_group_name_H-M 'P 1'
_symmetry_Int_Tables_number 1
_cell_length_a 6.035
_cell_length_b 6.035
_cell_length_c 6.035
_cell_angle_alpha 96.06
_cell_angle_beta 96.06
_cell_angle_gamma 142.09
loop_
_symmetry_equiv_pos_as_xyz
'x,y,z'
loop_
_atom_site_label
_atom_site_type_symbol
_atom_site_fract_x
_atom_site_fract_y
_atom_site_fract_z
Zr1 Zr 0.000 0.000 0.000
Sb1 Sb 0.210 0.610 0.820
Sb2 Sb 0.610 0.790 0.400
Sb3 Sb 0.790 0.390 0.180
Sb4 Sb 0.390 0.210 0.600
```

ΔE to the lowest computed polymorph (eV per atom): 0.000

---

[3]
A plane-wave DFT calculation with PBE was carried out for a geometry-optimized Zr3Sb2 structure.

```
data_Zr3Sb2
_symmetry_space_group_name_H-M 'P 1'
_symmetry_Int_Tables_number 1
_cell_length_a 3.971
_cell_length_b 10.611
_cell_length_c 11.309
_cell_angle_alpha 90.00
_cell_angle_beta 90.00
_cell_angle_gamma 90.00
loop_
_symmetry_equiv_pos_as_xyz
'x,y,z'
loop_
_atom_site_label
_atom_site_type_symbol
_atom_site_fract_x
_atom_site_fract_y
_atom_site_fract_z
Zr1 Zr 0.250 0.620 0.540
Zr2 Zr 0.250 0.880 0.040
Zr3 Zr 0.750 0.380 0.460
Zr4 Zr 0.750 0.120 0.960
Zr5 Zr 0.750 0.076 0.626
Zr6 Zr 0.750 0.424 0.126
Zr7 Zr 0.250 0.924 0.374
Zr8 Zr 0.250 0.576 0.874
Zr9 Zr 0.250 0.292 0.707
Zr10 Zr 0.250 0.208 0.207
Zr11 Zr 0.750 0.708 0.293
Zr12 Zr 0.750 0.792 0.793
Sb1 Sb 0.250 0.178 0.463
Sb2 Sb 0.250 0.322 0.963
Sb3 Sb 0.750 0.822 0.537
Sb4 Sb 0.750 0.678 0.037
Sb5 Sb 0.750 0.501 0.698
Sb6 Sb 0.750 0.999 0.198
Sb7 Sb 0.250 0.499 0.302
Sb8 Sb 0.250 0.001 0.802
```

ΔE to the lowest computed polymorph (eV per atom): 0.000

---

[4]
A plane-wave DFT calculation with PBE was carried out for a geometry-optimized Zr3Sb5 structure.

```
data_Zr3Sb5
_symmetry_space_group_name_H-M 'P 1'
_symmetry_Int_Tables_number 1
_cell_length_a 8.841
_cell_length_b 8.841
_cell_length_c 5.850
_cell_angle_alpha 90.00
_cell_angle_beta 90.00
_cell_angle_gamma 120.00
loop_
_symmetry_equiv_pos_as_xyz
'x,y,z'
loop_
_atom_site_label
_atom_site_type_symbol
_atom_site_fract_x
_atom_site_fract_y
_atom_site_fract_z
Sb1 Sb 0.333 0.667 0.000
Sb2 Sb 0.667 0.333 0.500
Sb3 Sb 0.667 0.333 0.000
Sb4 Sb 0.333 0.667 0.500
Sb5 Sb 0.256 0.000 0.250
Sb6 Sb 0.744 0.000 0.750
Sb7 Sb 0.000 0.256 0.250
Sb8 Sb 0.744 0.744 0.250
Sb9 Sb 0.256 0.256 0.750
Sb10 Sb 0.000 0.744 0.750
Zr1 Zr 0.613 0.000 0.250
Zr2 Zr 0.387 0.000 0.750
Zr3 Zr 0.000 0.613 0.250
Zr4 Zr 0.387 0.387 0.250
Zr5 Zr 0.613 0.613 0.750
Zr6 Zr 0.000 0.387 0.750
```

ΔE to the lowest computed polymorph (eV per atom): 0.000

---

Across the entries above, M_tot takes the values 0.000, 0.000, 0.000, 0.000 μB/f.u., respectively.